Entry A
VASP calculation (GGA-PBE) on a relaxed structure of PrGaH.

a = 4.271 Å, b = 4.233 Å, c = 6.387 Å
α = 90.00°, β = 109.63°, γ = 90.00°
Element x y z (fractional)
Pr: 0.270 0.115 0.002
Pr: 0.960 0.615 0.384
Ga: 0.670 0.615 0.807
Ga: 0.560 0.116 0.579
H: 0.365 0.615 0.190
H: 0.865 0.115 0.195

The space-group type is P2_1/m (11). The calculation puts the mass density at 6.5 g/cm³.

---

Entry B
VASP calculation (GGA-PBE) on a relaxed structure of PrGaH.

a = 4.331 Å, b = 4.331 Å, c = 4.613 Å
α = 117.99°, β = 117.99°, γ = 90.00°
Element x y z (fractional)
Pr: 0.248 0.248 0.497
H: 0.921 0.921 0.843
Ga: 0.680 0.680 0.361

The space-group type is I4mm (107). The calculation puts the mass density at 5.4 g/cm³.

---

entry A has the most favorable energy; the next structure is 0.513 eV/atom above.

---

Entry A
VASP calculation (GGA-PBE) on a relaxed structure of Ga2H2Pt.

a = 2.976 Å, b = 2.976 Å, c = 6.605 Å
α = 76.98°, β = 76.98°, γ = 90.00°
Element x y z (fractional)
H: 0.750 0.250 0.500
H: 0.250 0.750 0.500
Ga: 0.362 0.362 0.277
Ga: 0.638 0.638 0.723
Pt: 0.000 0.000 0.000

The space-group type is I4/mmm (139). The calculation puts the mass density at 10.1 g/cm³.

---

Entry B
VASP calculation (GGA-PBE) on a relaxed structure of Ga2H2Pt.

a = 5.132 Å, b = 5.132 Å, c = 4.699 Å
α = 90.00°, β = 90.00°, γ = 90.00°
Element x y z (fractional)
H: 0.241 0.741 0.000
H: 0.741 0.759 0.000
H: 0.759 0.259 0.000
H: 0.259 0.241 0.000
Ga: 0.192 0.692 0.500
Ga: 0.692 0.808 0.500
Ga: 0.808 0.308 0.500
Ga: 0.308 0.192 0.500
Pt: 0.000 0.000 0.000
Pt: 0.500 0.500 0.000

The space-group type is P4/mbm (127). The calculation puts the mass density at 9.0 g/cm³.

---

entry B has the most favorable energy; the next structure is 0.072 eV/atom above.

---

Entry A
VASP calculation (GGA-PBE) on a relaxed structure of GaH2Pt.

a = 4.814 Å, b = 4.814 Å, c = 5.295 Å
α = 62.96°, β = 62.96°, γ = 90.00°
Element x y z (fractional)
H: 0.726 0.125 0.250
H: 0.024 0.625 0.250
H: 0.375 0.274 0.750
H: 0.875 0.976 0.750
Ga: 0.500 0.500 0.000
Ga: 0.250 0.750 0.500
Pt: 0.000 0.000 0.000
Pt: 0.750 0.250 0.500

The space-group type is I-42d (122). The calculation puts the mass density at 9.4 g/cm³.

---

Entry B
VASP calculation (GGA-PBE) on a relaxed structure of GaH2Pt.

a = 3.824 Å, b = 3.824 Å, c = 3.824 Å
α = 60.00°, β = 60.00°, γ = 60.00°
Element x y z (fractional)
H: 0.250 0.250 0.250
H: 0.750 0.750 0.750
Ga: 0.000 0.000 0.000
Pt: 0.500 0.500 0.500

The space-group type is Fm-3m (225). The calculation puts the mass density at 11.2 g/cm³.

---

entry A has the most favorable energy; the next structure is 0.487 eV/atom above.

---

Entry A
VASP calculation (GGA-PBE) on a relaxed structure of GaH3Pt.

a = 3.684 Å, b = 3.684 Å, c = 3.684 Å
α = 90.00°, β = 90.00°, γ = 90.00°
Element x y z (fractional)
H: 0.000 0.500 0.000
H: 0.000 0.000 0.500
H: 0.500 0.000 0.000
Ga: 0.500 0.500 0.500
Pt: 0.000 0.000 0.000

The space-group type is Pm-3m (221). The calculation puts the mass density at 8.9 g/cm³.

---

Entry B
VASP calculation (GGA-PBE) on a relaxed structure of GaH3Pt.

a = 3.602 Å, b = 3.602 Å, c = 3.602 Å
α = 90.00°, β = 90.00°, γ = 90.00°
Element x y z (fractional)
H: 0.000 0.500 0.000
H: 0.000 0.000 0.500
H: 0.500 0.000 0.000
Ga: 0.000 0.000 0.000
Pt: 0.500 0.500 0.500

The space-group type is Pm-3m (221). The calculation puts the mass density at 9.5 g/cm³.

---

entry A has the most favorable energy; the next structure is 0.743 eV/atom above.

---

Entry A
VASP calculation (GGA-PBE) on a relaxed structure of GaHPt3.

a = 6.936 Å, b = 6.924 Å, c = 6.955 Å
α = 120.14°, β = 90.00°, γ = 90.00°
Element x y z (fractional)
Ga: 0.250 0.923 0.462
Ga: 0.750 0.077 0.538
Ga: 0.750 0.077 0.038
Ga: 0.250 0.923 0.962
H: 0.927 0.873 0.186
H: 0.073 0.127 0.814
H: 0.427 0.127 0.314
H: 0.573 0.873 0.686
Pt: 0.944 0.718 0.316
Pt: 0.056 0.282 0.684
Pt: 0.444 0.282 0.184
Pt: 0.556 0.718 0.816
Pt: 0.556 0.718 0.401
Pt: 0.444 0.282 0.599
Pt: 0.056 0.282 0.099
Pt: 0.944 0.718 0.901
Pt: 0.196 0.582 0.541
Pt: 0.804 0.418 0.459
Pt: 0.696 0.418 0.959
Pt: 0.304 0.582 0.041

The space-group type is Cmce (64). The calculation puts the mass density at 15.1 g/cm³.

---

Entry B
VASP calculation (GGA-PBE) on a relaxed structure of GaHPt3.

a = 4.642 Å, b = 4.642 Å, c = 4.642 Å
α = 90.00°, β = 90.00°, γ = 90.00°
Element x y z (fractional)
H: 0.500 0.500 0.500
Ga: 0.000 0.000 0.000
Pt: 0.000 0.500 0.000
Pt: 0.000 0.000 0.500
Pt: 0.500 0.000 0.000

The space-group type is Pm-3m (221). The calculation puts the mass density at 10.9 g/cm³.

---

Entry C
VASP calculation (GGA-PBE) on a relaxed structure of GaHPt3.

a = 4.020 Å, b = 4.020 Å, c = 4.020 Å
α = 90.00°, β = 90.00°, γ = 90.00°
Element x y z (fractional)
H: 0.000 0.000 0.000
Ga: 0.500 0.500 0.500
Pt: 0.000 0.500 0.000
Pt: 0.000 0.000 0.500
Pt: 0.500 0.000 0.000

The space-group type is Pm-3m (221). The calculation puts the mass density at 16.8 g/cm³.

---

entry C has the most favorable energy; the next structure is 0.049 eV/atom above.

---

Entry A
VASP calculation (GGA-PBE) on a relaxed structure of Sc2GaHPt.

a = 4.554 Å, b = 4.554 Å, c = 3.689 Å
α = 90.00°, β = 90.00°, γ = 90.00°
Element x y z (fractional)
Sc: 0.000 0.500 0.000
Sc: 0.500 0.000 0.000
H: 0.000 0.000 0.000
Ga: 0.500 0.500 0.500
Pt: 0.000 0.000 0.500

The space-group type is P4/mmm (123). The calculation puts the mass density at 7.7 g/cm³.

---

Entry B
VASP calculation (GGA-PBE) on a relaxed structure of Sc2GaHPt.

a = 4.370 Å, b = 3.905 Å, c = 4.370 Å
α = 90.00°, β = 90.00°, γ = 90.00°
Element x y z (fractional)
Sc: 0.000 0.000 0.500
Sc: 0.500 0.000 0.000
H: 0.000 0.000 0.000
Ga: 0.000 0.500 0.000
Pt: 0.500 0.500 0.500

The space-group type is P4/mmm (123). The calculation puts the mass density at 7.9 g/cm³.

---

entry A has the most favorable energy; the next structure is 0.106 eV/atom above.

---

Entry A
VASP calculation (GGA-PBE) on a relaxed structure of YGaH2Pt.

a = 3.830 Å, b = 6.283 Å, c = 3.830 Å
α = 90.00°, β = 90.00°, γ = 90.00°
Element x y z (fractional)
Y: 0.000 0.500 0.000
H: 0.000 0.000 0.500
H: 0.500 0.000 0.000
Ga: 0.000 0.000 0.000
Pt: 0.500 0.500 0.500

The space-group type is P4/mmm (123). The calculation puts the mass density at 6.4 g/cm³.

---

Entry B
VASP calculation (GGA-PBE) on a relaxed structure of YGaH2Pt.

a = 3.915 Å, b = 5.049 Å, c = 3.915 Å
α = 90.00°, β = 90.00°, γ = 90.00°
Element x y z (fractional)
Y: 0.500 0.500 0.500
H: 0.000 0.000 0.500
H: 0.500 0.000 0.000
Ga: 0.000 0.000 0.000
Pt: 0.000 0.500 0.000

The space-group type is P4/mmm (123). The calculation puts the mass density at 7.6 g/cm³.

---

entry B has the most favorable energy; the next structure is 0.404 eV/atom above.

---

Entry A
VASP calculation (GGA-PBE) on a relaxed structure of PuGaH2.

a = 3.851 Å, b = 3.851 Å, c = 4.802 Å
α = 66.36°, β = 66.36°, γ = 60.00°
Element x y z (fractional)
H: 0.334 0.334 0.998
H: 0.666 0.666 0.002
Ga: 0.500 0.500 0.500
Pu: 0.000 0.000 0.000

The space-group type is R-3m (166). The calculation puts the mass density at 9.6 g/cm³.

---

Entry B
VASP calculation (GGA-PBE) on a relaxed structure of PuGaH2.

a = 4.088 Å, b = 4.103 Å, c = 6.077 Å
α = 109.71°, β = 90.00°, γ = 90.00°
Element x y z (fractional)
Pu: 0.250 0.653 0.306
Pu: 0.750 0.347 0.694
Ga: 0.750 0.067 0.134
Ga: 0.250 0.933 0.866
H: 0.750 0.751 0.502
H: 0.250 0.249 0.498
H: 0.750 0.553 0.105
H: 0.250 0.447 0.895

The space-group type is Cmcm (63). The calculation puts the mass density at 10.9 g/cm³.

---

entry B has the most favorable energy; the next structure is 0.220 eV/atom above.

---

Entry A
VASP calculation (GGA-PBE) on a relaxed structure of RbGa2H.

a = 3.870 Å, b = 3.870 Å, c = 11.456 Å
α = 90.00°, β = 90.00°, γ = 90.00°
Element x y z (fractional)
Rb: 0.250 0.750 0.250
Rb: 0.750 0.250 0.750
Ga: 0.750 0.250 0.049
Ga: 0.250 0.750 0.549
Ga: 0.750 0.250 0.451
Ga: 0.250 0.750 0.951
H: 0.750 0.250 0.250
H: 0.250 0.750 0.750

The space-group type is I4/mmm (139). The calculation puts the mass density at 4.4 g/cm³.

---

Entry B
VASP calculation (GGA-PBE) on a relaxed structure of RbGa2H.

a = 6.445 Å, b = 6.445 Å, c = 6.434 Å
α = 59.94°, β = 59.94°, γ = 90.00°
Element x y z (fractional)
H: 0.500 0.500 0.000
H: 0.250 0.750 0.500
Ga: 0.375 0.125 0.250
Ga: 0.375 0.625 0.250
Ga: 0.375 0.625 0.750
Ga: 0.875 0.625 0.750
Rb: 0.000 0.000 0.000
Rb: 0.750 0.250 0.500

The space-group type is I4_1/amd (141). The calculation puts the mass density at 4.0 g/cm³.

---

Entry C
VASP calculation (GGA-PBE) on a relaxed structure of RbGa2H.

a = 5.352 Å, b = 5.352 Å, c = 5.352 Å
α = 60.00°, β = 60.00°, γ = 60.00°
Element x y z (fractional)
H: 0.000 0.000 0.000
Ga: 0.250 0.250 0.250
Ga: 0.750 0.750 0.750
Rb: 0.500 0.500 0.500

The space-group type is Fm-3m (225). The calculation puts the mass density at 3.5 g/cm³.

---

entry A has the most favorable energy; the next structure is 0.162 eV/atom above.

---

Entry A
VASP calculation (GGA-PBE) on a relaxed structure of RbGa2H2.

a = 3.705 Å, b = 3.705 Å, c = 7.364 Å
α = 75.43°, β = 75.43°, γ = 90.00°
Element x y z (fractional)
H: 0.383 0.383 0.235
H: 0.617 0.617 0.765
Ga: 0.750 0.250 0.500
Ga: 0.250 0.750 0.500
Rb: 0.000 0.000 0.000

The space-group type is I4/mmm (139). The calculation puts the mass density at 4.0 g/cm³.

---

Entry B
VASP calculation (GGA-PBE) on a relaxed structure of RbGa2H2.

a = 8.187 Å, b = 8.187 Å, c = 3.026 Å
α = 90.00°, β = 90.00°, γ = 90.00°
Element x y z (fractional)
H: 0.411 0.911 0.000
H: 0.911 0.589 0.000
H: 0.589 0.089 0.000
H: 0.089 0.411 0.000
Ga: 0.114 0.614 0.500
Ga: 0.614 0.886 0.500
Ga: 0.886 0.386 0.500
Ga: 0.386 0.114 0.500
Rb: 0.000 0.000 0.000
Rb: 0.500 0.500 0.000

The space-group type is P4/mbm (127). The calculation puts the mass density at 3.7 g/cm³.

---

entry A has the most favorable energy; the next structure is 0.183 eV/atom above.

---

Entry A
VASP calculation (GGA-PBE) on a relaxed structure of RbGaH3.

a = 4.984 Å, b = 7.317 Å, c = 7.006 Å
α = 121.47°, β = 110.82°, γ = 90.01°
Element x y z (fractional)
Rb: 0.709 0.650 0.109
Rb: 0.338 0.277 0.364
Ga: 0.934 0.794 0.736
Ga: 0.934 0.133 0.737
H: 0.185 0.354 0.977
H: 0.185 0.813 0.976
H: 0.945 0.114 0.497
H: 0.629 0.716 0.736
H: 0.629 0.211 0.737
H: 0.945 0.574 0.496

The space-group type is Imm2 (44). The calculation puts the mass density at 2.7 g/cm³.

---

Entry B
VASP calculation (GGA-PBE) on a relaxed structure of RbGaH3.

a = 4.049 Å, b = 4.049 Å, c = 4.049 Å
α = 90.00°, β = 90.00°, γ = 90.00°
Element x y z (fractional)
H: 0.000 0.500 0.000
H: 0.000 0.000 0.500
H: 0.500 0.000 0.000
Ga: 0.000 0.000 0.000
Rb: 0.500 0.500 0.500

The space-group type is Pm-3m (221). The calculation puts the mass density at 4.0 g/cm³.

---

entry A has the most favorable energy; the next structure is 0.208 eV/atom above.

---

Entry A
VASP calculation (GGA-PBE) on a relaxed structure of Ga2ReH2.

a = 7.096 Å, b = 7.096 Å, c = 2.683 Å
α = 90.00°, β = 90.00°, γ = 90.00°
Element x y z (fractional)
Re: 0.000 0.000 0.000
Re: 0.500 0.500 0.000
Ga: 0.255 0.755 0.000
Ga: 0.755 0.745 0.000
Ga: 0.745 0.245 0.000
Ga: 0.245 0.255 0.000
H: 0.038 0.538 0.500
H: 0.538 0.962 0.500
H: 0.962 0.462 0.500
H: 0.462 0.038 0.500

The space-group type is P4/mbm (127). The calculation puts the mass density at 8.1 g/cm³.

---

Entry B
VASP calculation (GGA-PBE) on a relaxed structure of Ga2ReH2.

a = 2.846 Å, b = 2.846 Å, c = 6.942 Å
α = 78.17°, β = 78.17°, γ = 90.00°
Element x y z (fractional)
Re: 0.000 0.000 0.000
Ga: 0.362 0.362 0.276
Ga: 0.638 0.638 0.724
H: 0.750 0.250 0.500
H: 0.250 0.750 0.500

The space-group type is I4/mmm (139). The calculation puts the mass density at 10.1 g/cm³.

---

entry A has the most favorable energy; the next structure is 0.125 eV/atom above.